(1)
Ti4IrRh3 after structural relaxation. Source: Alexandria, functional PBE.

Geometry as POSCAR:
```
Ti4IrRh3
1.0
2.9388 0.0000 0.0000
0.0000 2.9388 0.0000
0.0000 0.0000 13.9079
Ti Ir Rh
4 1 3
direct
0.0000 0.0000 0.1254
0.0000 0.0000 0.3753
0.0000 0.0000 0.6247
0.0000 0.0000 0.8746
0.5000 0.5000 0.0000
0.5000 0.5000 0.2513
0.5000 0.5000 0.5000
0.5000 0.5000 0.7487
```

=====

(2)
LaYBe2 after structural relaxation. Source: Alexandria, functional PBE.

Geometry as POSCAR:
```
LaYBe2
1.0
1.9241 1.1109 7.1169
-1.9241 1.1109 7.1169
0.0000 -2.2218 7.1169
La Y Be
1 1 2
direct
0.0000 0.0000 0.0000
0.8160 0.8160 0.8160
0.2337 0.2337 0.2337
0.5681 0.5681 0.5681
```

=====

(3)
Al2NiAu after structural relaxation. Source: Alexandria, functional PBE.

Geometry as POSCAR:
```
Al2NiAu
1.0
3.0213 0.0000 0.0000
0.0000 2.9798 0.0000
-0.0314 0.0000 6.3330
Al Ni Au
2 1 1
direct
0.0011 0.0000 0.2173
0.9989 0.0000 0.7827
0.5000 0.5000 0.0000
0.5000 0.5000 0.5000
```

=====

| no. | V (Å³ per cell) | calculated formation energy (eV per atom) | E_tot (eV per formula unit) |
| --- | --- | --- | --- |
| 1 | 120.1 | -0.771 | -68.7 |
| 2 | 91.3 | 0.097 | -18.5 |
| 3 | 57.0 | -0.460 | -18.4 |